PBEsol Hg2PAu, relaxed; E = -9.8 eV/cell; total magnetic moment = 0.000 μB/atom; D(E_F) = 1.36 states/eV per cell; space-group type = P4mm; volume = 84.11 Å³/f.u.; ΔH_f (0 K) = 270 meV per atom
1.0
3.286 0.000 0.000
0.000 3.286 0.000
0.000 0.000 7.790
Hg P Au
2 1 1
Cartesian
0.000 0.000 0.000
1.643 1.643 2.166
0.000 0.000 4.500
1.643 1.643 5.395

---

PBEsol HgP2Au, relaxed; E = -15.8 eV/cell; total magnetic moment = 0.000 μB/atom; D(E_F) = 1.64 states/eV per cell; space-group type = P4mm; volume = 73.85 Å³/f.u.; ΔH_f (0 K) = 74 meV per atom
1.0
3.136 0.000 0.000
0.000 3.136 0.000
0.000 0.000 7.509
Hg P Au
1 2 1
Cartesian
0.000 0.000 0.000
0.000 0.000 2.569
1.568 1.568 3.268
1.568 1.568 5.641

---

PBEsol Hg3PAu, relaxed; E = -7.8 eV/cell; total magnetic moment = 0.412 μB/atom; D(E_F) = 2.29 states/eV per cell; space-group type = Pm-3m; volume = 142.32 Å³/f.u.; ΔH_f (0 K) = 716 meV per atom
1.0
5.221 0.000 0.000
0.000 5.221 0.000
0.000 0.000 5.221
Hg P Au
3 1 1
Cartesian
0.000 0.000 2.610
0.000 2.610 0.000
2.610 0.000 0.000
2.610 2.610 2.610
0.000 0.000 0.000

---

PBEsol HgP2Au2, relaxed; E = -18.7 eV/cell; total magnetic moment = 0.000 μB/atom; D(E_F) = 2.30 states/eV per cell; space-group type = I4/mmm; volume = 93.22 Å³/f.u.; ΔH_f (0 K) = 263 meV per atom
1.0
-2.241 2.241 4.639
2.241 -2.241 4.639
2.241 2.241 -4.639
Hg P Au
1 2 2
Cartesian
0.000 0.000 0.000
0.000 0.000 3.544
0.000 0.000 5.733
2.241 0.000 2.319
0.000 2.241 2.319

---

Please write out number 3 again, unchanged.
PBEsol Hg3PAu, relaxed; E = -7.8 eV/cell; total magnetic moment = 0.412 μB/atom; D(E_F) = 2.29 states/eV per cell; space-group type = Pm-3m; volume = 142.32 Å³/f.u.; ΔH_f (0 K) = 716 meV per atom
1.0
5.221 0.000 0.000
0.000 5.221 0.000
0.000 0.000 5.221
Hg P Au
3 1 1
Cartesian
0.000 0.000 2.610
0.000 2.610 0.000
2.610 0.000 0.000
2.610 2.610 2.610
0.000 0.000 0.000

---

Copy entry 4 word for word.
PBEsol HgP2Au2, relaxed; E = -18.7 eV/cell; total magnetic moment = 0.000 μB/atom; D(E_F) = 2.30 states/eV per cell; space-group type = I4/mmm; volume = 93.22 Å³/f.u.; ΔH_f (0 K) = 263 meV per atom
1.0
-2.241 2.241 4.639
2.241 -2.241 4.639
2.241 2.241 -4.639
Hg P Au
1 2 2
Cartesian
0.000 0.000 0.000
0.000 0.000 3.544
0.000 0.000 5.733
2.241 0.000 2.319
0.000 2.241 2.319

---

Please write out number 3 again, unchanged.
PBEsol Hg3PAu, relaxed; E = -7.8 eV/cell; total magnetic moment = 0.412 μB/atom; D(E_F) = 2.29 states/eV per cell; space-group type = Pm-3m; volume = 142.32 Å³/f.u.; ΔH_f (0 K) = 716 meV per atom
1.0
5.221 0.000 0.000
0.000 5.221 0.000
0.000 0.000 5.221
Hg P Au
3 1 1
Cartesian
0.000 0.000 2.610
0.000 2.610 0.000
2.610 0.000 0.000
2.610 2.610 2.610
0.000 0.000 0.000